[1]
Below is a relaxed Ba2Cu2Ni crystal, with properties calculated at the PBE-GGA level.

Properties
Symmetry: I4/mmm
E above lowest polymorph in meV per atom: 199
Final energy in eV per atom: -3.3503
Formation energy in meV/atom: 214
Crystal system: tetragonal

Cell lengths 5.6808, 5.6808, 5.6808 Å; angles 114.79, 114.79, 99.28 degrees
With the nearest neighbours (Å) after each atom.
Sites, in units of the cell vectors:
Ba1 0.2500 0.7500 0.5000  4 Cu 3.12
Ba2 0.7500 0.2500 0.5000  4 Cu 3.12
Cu1 0.1645 0.1645 0.0000  1 Cu 2.42, 1 Ni 2.47
Cu2 0.8355 0.8355 0.0000  1 Cu 2.42, 1 Ni 2.47
Ni1 0.5000 0.5000 0.0000  2 Cu 2.47

=====

[2]
Below is a relaxed BaCu2Ni crystal, with properties calculated at the PBE-GGA level.

Properties
Symmetry: I-4m2
Final energy in eV per atom: -3.4541
Formation energy in meV/atom: 520
Crystal system: tetragonal

Cell lengths 5.2185, 5.2185, 5.2185 Å; angles 131.36, 131.36, 71.25 degrees
With the nearest neighbours (Å) after each atom.
Sites, in units of the cell vectors:
Ba1 0.0000 0.0000 0.0000  4 Ni 3.02, 8 Cu 3.02-3.04
Cu1 0.2500 0.7500 0.5000  4 Cu 3.02, 4 Ba 3.02, 4 Ni 3.04
Cu2 0.5000 0.5000 0.0000  4 Ni 3.02, 4 Cu 3.02, 4 Ba 3.04
Ni1 0.7500 0.2500 0.5000  8 Cu 3.02-3.04, 4 Ba 3.02